Below is crystalline GdAlBi2 at its relaxed geometry, with properties calculated at the GGA-PBE level.

Cell and atoms, written as POSCAR:
```
GdAlBi2
1.0
1.873 1.081 10.330
-1.873 1.081 10.330
0.000 -2.163 10.330
Gd Al Bi
1 1 2
Cartesian
0.000 0.000 0.000
0.000 0.000 15.495
0.000 0.000 3.205
0.000 0.000 27.785
```

Summary:
SG: R-3m (166)
Energy relative to the lowest polymorph listed for this composition in meV/atom: 489.7
DFT formation energy in eV/atom: 0.18
Volume in A^3/atom: 31.39